# 1
6
Lattice="4.284 0.000 0.000 0.000 1.337 6.861 0.000 -1.337 6.861" Properties=species:S:1:pos:R:3 comment="NiRh5 | the Alexandria database | meta-GGA SCAN | PBEsol geometry" ef_ev_per_atom=0.07 space_group="Amm2 (38)" e_tot_ev_per_cell=-184.615 n_ef_per_ev_atom=1.4422 pbc="T T T"
Ni 0.000 0.000 0.000
Rh 0.000 0.000 4.606
Rh 0.000 0.000 9.103
Rh 2.142 0.000 1.489
Rh 2.142 0.000 6.127
Rh 2.142 0.000 10.683

---

# 2
3
Lattice="4.012 0.000 0.000 -2.006 3.475 0.000 0.000 0.000 2.514" Properties=species:S:1:pos:R:3 comment="Ni2Rh | the Alexandria database | meta-GGA SCAN | PBEsol geometry" ef_ev_per_atom=0.09 space_group="P6/mmm (191)" e_tot_ev_per_cell=-65.858 n_ef_per_ev_atom=0.7578 pbc="T T T"
Ni 0.000 2.317 0.000
Ni 2.006 1.158 0.000
Rh 0.000 0.000 1.257